No. 1
VASP calculation (PBE) on a geometry-optimized AlGa2Sb structure.

CIF file:
```
data_AlGa2Sb
_cell_length_a 6.982
_cell_length_b 6.982
_cell_length_c 6.982
_cell_angle_alpha 90.00
_cell_angle_beta 90.00
_cell_angle_gamma 90.00
_space_group_name_H-M_alt 'F m -3 m'
_space_group_IT_number 225
_space_group_name_Hall '-F 4 2 3'
loop_
_atom_site_label
_atom_site_type_symbol
_atom_site_fract_x
_atom_site_fract_y
_atom_site_fract_z
Al1 Al 0.000 0.000 0.000
Ga1 Ga 0.250 0.250 0.250
Sb1 Sb 0.000 0.000 0.500
```

Properties
raw formation energy	149	meV/atom
ΔE to the lowest computed polymorph	0.0466	eV per atom
total DFT energy (no corrections)	-53.29	eV per cell

No. 2
VASP calculation (PBE) on a geometry-optimized AlGaSbSe structure.

CIF file:
```
data_AlGaSbSe
_cell_length_a 6.481
_cell_length_b 3.743
_cell_length_c 9.737
_cell_angle_alpha 90.00
_cell_angle_beta 90.09
_cell_angle_gamma 90.00
_space_group_name_H-M_alt 'C 1 m 1'
_space_group_IT_number 8
_space_group_name_Hall 'C -2y'
loop_
_atom_site_label
_atom_site_type_symbol
_atom_site_fract_x
_atom_site_fract_y
_atom_site_fract_z
Al1 Al 0.000 0.000 0.000
Ga1 Ga 0.001 0.000 0.257
Sb1 Sb 0.168 0.500 0.433
Se1 Se 0.333 0.000 0.879
```

Properties
raw formation energy	-273	meV/atom
total DFT energy (no corrections)	-30.94	eV per cell

No. 3
VASP calculation (PBE) on a geometry-optimized AlGaSb2Te structure.

CIF file:
```
data_AlGaSb2Te
_cell_length_a 5.284
_cell_length_b 5.284
_cell_length_c 5.500
_cell_angle_alpha 90.00
_cell_angle_beta 90.00
_cell_angle_gamma 90.00
_space_group_name_H-M_alt 'P 4/m m m'
_space_group_IT_number 123
_space_group_name_Hall '-P 4 2'
loop_
_atom_site_label
_atom_site_type_symbol
_atom_site_fract_x
_atom_site_fract_y
_atom_site_fract_z
Al1 Al 0.000 0.000 0.000
Ga1 Ga 0.500 0.500 0.500
Sb1 Sb 0.000 0.500 0.000
Te1 Te 0.000 0.000 0.500
```

Properties
raw formation energy	386	meV/atom
ΔE to the lowest computed polymorph	0.0000	eV per atom
total DFT energy (no corrections)	-16.22	eV per cell

No. 4
VASP calculation (PBE) on a geometry-optimized AlZn2GaSb structure.

CIF file:
```
data_AlZn2GaSb
_cell_length_a 4.843
_cell_length_b 4.843
_cell_length_c 5.032
_cell_angle_alpha 90.00
_cell_angle_beta 90.00
_cell_angle_gamma 90.00
_space_group_name_H-M_alt 'P 4/m m m'
_space_group_IT_number 123
_space_group_name_Hall '-P 4 2'
loop_
_atom_site_label
_atom_site_type_symbol
_atom_site_fract_x
_atom_site_fract_y
_atom_site_fract_z
Al1 Al 0.000 0.000 0.000
Zn1 Zn 0.000 0.500 0.000
Ga1 Ga 0.000 0.000 0.500
Sb1 Sb 0.500 0.500 0.500
```

Properties
raw formation energy	437	meV/atom
total DFT energy (no corrections)	-11.26	eV per cell

No. 5
VASP calculation (PBE) on a geometry-optimized Sc3AlGa2 structure.

CIF file:
```
data_Sc3AlGa2
_cell_length_a 4.759
_cell_length_b 14.296
_cell_length_c 3.359
_cell_angle_alpha 90.00
_cell_angle_beta 90.00
_cell_angle_gamma 90.00
_space_group_name_H-M_alt 'C m m m'
_space_group_IT_number 65
_space_group_name_Hall '-C 2 2'
loop_
_atom_site_label
_atom_site_type_symbol
_atom_site_fract_x
_atom_site_fract_y
_atom_site_fract_z
Sc1 Sc 0.000 0.000 0.000
Sc2 Sc 0.000 0.330 0.000
Al1 Al 0.000 0.500 0.500
Ga1 Ga 0.000 0.163 0.500
```

Properties
energy relative to the elements	-0.54	eV per atom
total DFT energy (no corrections)	-64.06	eV per cell

No. 6
VASP calculation (PBE) on a geometry-optimized Sc2Al2Ga structure.

CIF file:
```
data_Sc2Al2Ga
_cell_length_a 3.159
_cell_length_b 4.279
_cell_length_c 13.758
_cell_angle_alpha 90.00
_cell_angle_beta 90.00
_cell_angle_gamma 90.00
_space_group_name_H-M_alt 'A m m 2'
_space_group_IT_number 38
_space_group_name_Hall 'A 2 -2'
loop_
_atom_site_label
_atom_site_type_symbol
_atom_site_fract_x
_atom_site_fract_y
_atom_site_fract_z
Sc1 Sc 0.000 0.000 0.000
Sc2 Sc 0.000 0.000 0.228
Al1 Al 0.500 0.000 0.615
Al2 Al 0.500 0.000 0.813
Ga1 Ga 0.500 0.000 0.416
```

Properties
energy relative to the elements	-0.52	eV per atom
ΔE to the lowest computed polymorph	0.0000	eV per atom
total DFT energy (no corrections)	-51.51	eV per cell

No. 7
VASP calculation (PBE) on a geometry-optimized Sc5AlGa structure.

CIF file:
```
data_Sc5AlGa
_cell_length_a 7.776
_cell_length_b 8.002
_cell_length_c 10.131
_cell_angle_alpha 90.00
_cell_angle_beta 98.89
_cell_angle_gamma 90.00
_space_group_name_H-M_alt 'C 1 2/c 1'
_space_group_IT_number 15
_space_group_name_Hall '-C 2yc'
loop_
_atom_site_label
_atom_site_type_symbol
_atom_site_fract_x
_atom_site_fract_y
_atom_site_fract_z
Sc1 Sc 0.000 0.122 0.250
Sc2 Sc 0.129 0.370 0.523
Sc3 Sc 0.196 0.212 0.843
Al1 Al 0.000 0.482 0.250
Ga1 Ga 0.000 0.000 0.000
```

Properties
energy relative to the elements	-0.17	eV per atom
total DFT energy (no corrections)	-158.33	eV per cell

No. 8
VASP calculation (PBE) on a geometry-optimized Sc4Al2Ga structure.

CIF file:
```
data_Sc4Al2Ga
_cell_length_a 4.7406
_cell_length_b 4.7406
_cell_length_c 23.1966
_cell_angle_alpha 90.00
_cell_angle_beta 90.00
_cell_angle_gamma 120.00
_space_group_name_H-M_alt 'R -3 m'
_space_group_IT_number 166
_space_group_name_Hall '-R 3 2"'
loop_
_atom_site_label
_atom_site_type_symbol
_atom_site_fract_x
_atom_site_fract_y
_atom_site_fract_z
Sc1 Sc 0.0000 0.0000 0.1197
Sc2 Sc 0.0000 0.0000 0.3715
Al1 Al 0.0000 0.0000 0.2488
Ga1 Ga 0.0000 0.0000 0.5000
```

Properties
energy relative to the elements	-0.30	eV per atom
ΔE to the lowest computed polymorph	0.0000	eV per atom
total DFT energy (no corrections)	-113.73	eV per cell

Number 1: magnetization 0.000 μB per atom. Number 2: magnetization 0.000 μB per atom. Number 3: magnetization 0.000 μB per atom. Number 4: magnetization 0.000 μB per atom. Number 5: magnetization 0.000 μB per atom. Number 6: magnetization 0.000 μB per atom. Number 7: magnetization 0.000 μB per atom. Number 8: magnetization 0.000 μB per atom.